## Pm2CuF8 (GGA-PBE)

Data for a relaxed structure of Pm2CuF8.

Lattice parameters (Å, degrees): 6.1090 6.1090 4.6591 104.16 104.16 74.03
Closest atoms and distances in Å follow each position.
Fractional coordinates of all 11 atoms:
Pm1 0.1777 0.1777 0.3768  7 F 2.23-2.44
Pm2 0.8223 0.8223 0.6232  7 F 2.23-2.44
Cu1 0.5000 0.5000 0.0000  2 F 1.86
F1 0.0806 0.0806 0.8002  3 Pm 2.40-2.56
F2 0.1594 0.5419 0.7269  1 Cu 2.14, 1 Pm 2.32
F3 0.3761 0.3761 0.2337  1 Cu 1.86
F4 0.4581 0.8406 0.2731  1 Cu 2.14, 1 Pm 2.32
F5 0.5419 0.1594 0.7269  1 Cu 2.14, 1 Pm 2.32
F6 0.6239 0.6239 0.7663  1 Cu 1.86
F7 0.8406 0.4581 0.2731  1 Cu 2.14, 1 Pm 2.32
F8 0.9194 0.9194 0.1998  3 Pm 2.40-2.56

Summary:
E_tot = -5.970 eV/atom
Formation energy (no corrections) = -3.373 eV/atom
Fermi-level density of states = 1.2 states/eV per cell
ΔE to the lowest computed polymorph = 0.0 meV per atom